(1)
Compound: BaScO2
Source: Alexandria
Functional: PBE
Structure: relaxed

## Properties
ΔE to the lowest computed polymorph	0.112	eV per atom

a = 7.3522 Å, b = 7.3522 Å, c = 7.3522 Å
α = 26.45°, β = 26.45°, γ = 26.45°
Element x y z (fractional)
1 Ba 0.0000 0.0000 0.0000
2 Sc 0.5000 0.5000 0.5000
3 O 0.1189 0.1189 0.1189
4 O 0.8811 0.8811 0.8811

(2)
Compound: Ba3Sc5O12
Source: Alexandria
Functional: PBE
Structure: relaxed

## Properties
E	-614.426	eV for the cell shown

a = 11.9121 Å, b = 11.9121 Å, c = 11.9121 Å
α = 109.47°, β = 109.47°, γ = 109.47°
Element x y z (fractional)
1 Ba 0.1250 0.2500 0.3750
2 Ba 0.1250 0.3750 0.7500
3 Ba 0.2500 0.3750 0.1250
4 Ba 0.2500 0.8750 0.6250
5 Ba 0.3750 0.1250 0.2500
6 Ba 0.3750 0.7500 0.1250
7 Ba 0.6250 0.2500 0.8750
8 Ba 0.6250 0.8750 0.7500
9 Ba 0.7500 0.1250 0.3750
10 Ba 0.7500 0.6250 0.8750
11 Ba 0.8750 0.6250 0.2500
12 Ba 0.8750 0.7500 0.6250
13 Sc 0.0000 0.0000 0.0000
14 Sc 0.0000 0.0000 0.5000
15 Sc 0.0000 0.5000 0.0000
16 Sc 0.0000 0.5000 0.5000
17 Sc 0.1250 0.7500 0.8750
18 Sc 0.1250 0.8750 0.2500
19 Sc 0.2500 0.1250 0.8750
20 Sc 0.2500 0.6250 0.3750
21 Sc 0.3750 0.2500 0.6250
22 Sc 0.3750 0.6250 0.7500
23 Sc 0.5000 0.0000 0.0000
24 Sc 0.5000 0.0000 0.5000
25 Sc 0.5000 0.5000 0.0000
26 Sc 0.5000 0.5000 0.5000
27 Sc 0.6250 0.3750 0.2500
28 Sc 0.6250 0.7500 0.3750
29 Sc 0.7500 0.3750 0.6250
30 Sc 0.7500 0.8750 0.1250
31 Sc 0.8750 0.1250 0.7500
32 Sc 0.8750 0.2500 0.1250
33 O 0.0110 0.1907 0.1117
34 O 0.0110 0.3203 0.8994
35 O 0.0790 0.6907 0.6797
36 O 0.0790 0.8883 0.3994
37 O 0.1006 0.6117 0.4210
38 O 0.1006 0.9890 0.6797
39 O 0.1117 0.0110 0.1907
40 O 0.1117 0.6006 0.9210
41 O 0.1797 0.1907 0.5790
42 O 0.1797 0.4890 0.6006
43 O 0.1907 0.1117 0.0110
44 O 0.1907 0.5790 0.1797
45 O 0.3093 0.3203 0.9210
46 O 0.3093 0.4890 0.3883
47 O 0.3203 0.8994 0.0110
48 O 0.3203 0.9210 0.3093
49 O 0.3883 0.3093 0.4890
50 O 0.3883 0.5790 0.8994
51 O 0.3994 0.0790 0.8883
52 O 0.3994 0.8203 0.5110
53 O 0.4210 0.1006 0.6117
54 O 0.4210 0.8203 0.8093
55 O 0.4890 0.3883 0.3093
56 O 0.4890 0.6006 0.1797
57 O 0.5110 0.3994 0.8203
58 O 0.5110 0.6117 0.6907
59 O 0.5790 0.1797 0.1907
60 O 0.5790 0.8994 0.3883
61 O 0.6006 0.1797 0.4890
62 O 0.6006 0.9210 0.1117
63 O 0.6117 0.4210 0.1006
64 O 0.6117 0.6907 0.5110
65 O 0.6797 0.0790 0.6907
66 O 0.6797 0.1006 0.9890
67 O 0.6907 0.5110 0.6117
68 O 0.6907 0.6797 0.0790
69 O 0.8093 0.4210 0.8203
70 O 0.8093 0.8883 0.9890
71 O 0.8203 0.5110 0.3994
72 O 0.8203 0.8093 0.4210
73 O 0.8883 0.3994 0.0790
74 O 0.8883 0.9890 0.8093
75 O 0.8994 0.0110 0.3203
76 O 0.8994 0.3883 0.5790
77 O 0.9210 0.1117 0.6006
78 O 0.9210 0.3093 0.3203
79 O 0.9890 0.6797 0.1006
80 O 0.9890 0.8093 0.8883

(3)
Compound: BaScSeO5
Source: Alexandria
Functional: PBE
Structure: relaxed

## Properties
E	-105.809	eV for the cell shown

a = 6.0906 Å, b = 6.0906 Å, c = 7.8783 Å
α = 105.79°, β = 105.79°, γ = 103.20°
Element x y z (fractional)
1 Ba 0.1741 0.8259 0.7500
2 Ba 0.8259 0.1741 0.2500
3 Sc 0.5000 0.5000 0.0000
4 Sc 0.5000 0.5000 0.5000
5 Se 0.2030 0.7970 0.2500
6 Se 0.7970 0.2030 0.7500
7 O 0.0909 0.2663 0.8983
8 O 0.1857 0.6126 0.4080
9 O 0.2663 0.0909 0.3983
10 O 0.3874 0.8143 0.0920
11 O 0.4521 0.5479 0.7500
12 O 0.5479 0.4521 0.2500
13 O 0.6126 0.1857 0.9080
14 O 0.7337 0.9091 0.6017
15 O 0.8143 0.3874 0.5920
16 O 0.9091 0.7337 0.1017

- Number 1 is which compound?
  BaScO2